Compound: Zn2CuCl
Source: the Alexandria database
Functional: PBE
Structure: relaxed

Calculated values
E_form (uncorrected)   -0.0854 eV per atom
D(E_F)   0.21 states/eV/atom
Symmetry   No. 8
Spin magnetization   0.00 μB per formula unit

Structure (POSCAR):
```
Zn2CuCl
1.0
4.301 -1.654 0.000
4.301 1.654 0.000
-3.829 0.000 5.723
Zn Cu Cl
2 1 1
Cartesian
0.000 0.000 0.000
2.282 0.000 4.711
-0.220 0.000 4.007
4.295 0.000 2.025
```